[1]
The following is a DFT calculation (GGA-PBE) of a relaxed Zr2VAu crystal.

Computed properties:
The density of states at the Fermi level comes out at 19.3 states/eV per cell. The calculated formation energy is 411 meV per atom. The calculation puts the excess energy over the best structure of this formula in the dataset at 626 meV per atom.

```
data_Zr2VAu
_cell_length_a 4.1053
_cell_length_b 4.1053
_cell_length_c 19.8862
_cell_angle_alpha 90.00
_cell_angle_beta 90.00
_cell_angle_gamma 90.00
_symmetry_space_group_name_H-M 'I -4 2 d'
_symmetry_Int_Tables_number 122
_symmetry_space_group_name_Hall 'I -4 2bw'
loop_
_atom_site_label
_atom_site_type_symbol
_atom_site_fract_x
_atom_site_fract_y
_atom_site_fract_z
_atom_site_occupancy
Zr1 Zr 0.2489 0.2500 0.1250 1
V1 V 0.0000 0.0000 0.0000 1
Au1 Au 0.0000 0.0000 0.5000 1
```


[2]
The following is a DFT calculation (GGA-PBE) of a relaxed Y2Be crystal.

Computed properties:
The density of states at the Fermi level comes out at 5.3 states/eV per cell. The calculated formation energy is 66 meV per atom. The calculation puts the excess energy over the best structure of this formula in the dataset at 9 meV per atom.

```
data_Y2Be
_cell_length_a 3.4765
_cell_length_b 3.4765
_cell_length_c 12.1095
_cell_angle_alpha 90.00
_cell_angle_beta 90.00
_cell_angle_gamma 90.00
_symmetry_space_group_name_H-M 'I 4/m m m'
_symmetry_Int_Tables_number 139
_symmetry_space_group_name_Hall '-I 4 2'
loop_
_atom_site_label
_atom_site_type_symbol
_atom_site_fract_x
_atom_site_fract_y
_atom_site_fract_z
_atom_site_occupancy
Y1 Y 0.0000 0.0000 0.1341 1
Be1 Be 0.0000 0.0000 0.5000 1
```


[3]
The following is a DFT calculation (GGA-PBE) of a relaxed Ca2ZnP2N6 crystal.

Computed properties:
As for the uncorrected formation energy: -0.25 eV/atom. The density of states at the Fermi level comes out at 16.1 states/eV per cell.

```
data_Ca2ZnP2N6
_cell_length_a 5.5139
_cell_length_b 5.5139
_cell_length_c 16.9884
_cell_angle_alpha 90.00
_cell_angle_beta 90.00
_cell_angle_gamma 120.00
_symmetry_space_group_name_H-M 'R -3 m'
_symmetry_Int_Tables_number 166
_symmetry_space_group_name_Hall '-R 3 2"'
loop_
_atom_site_label
_atom_site_type_symbol
_atom_site_fract_x
_atom_site_fract_y
_atom_site_fract_z
_atom_site_occupancy
Ca1 Ca 0.0000 0.0000 0.1979 1
Zn1 Zn 0.0000 0.0000 0.0000 1
P1 P 0.0000 0.0000 0.4159 1
N1 N 0.0043 0.5022 0.2478 1
```


[4]
The following is a DFT calculation (GGA-PBE) of a relaxed PaInHg2O8 crystal.

Computed properties:
As for the uncorrected formation energy: -1.05 eV/atom. The density of states at the Fermi level comes out at 6.4 states/eV per cell.

```
data_PaInHg2O8
_cell_length_a 7.1530
_cell_length_b 7.1530
_cell_length_c 7.2315
_cell_angle_alpha 90.00
_cell_angle_beta 90.00
_cell_angle_gamma 90.00
_symmetry_space_group_name_H-M 'I -4 m 2'
_symmetry_Int_Tables_number 119
_symmetry_space_group_name_Hall 'I -4 -2'
loop_
_atom_site_label
_atom_site_type_symbol
_atom_site_fract_x
_atom_site_fract_y
_atom_site_fract_z
_atom_site_occupancy
Pa1 Pa 0.0000 0.0000 0.0000 1
In1 In 0.0000 0.5000 0.7500 1
Hg1 Hg 0.0000 0.0000 0.5000 1
Hg2 Hg 0.0000 0.5000 0.2500 1
O1 O 0.0000 0.1802 0.7390 1
O2 O 0.0000 0.3159 0.0059 1
```


[5]
The following is a DFT calculation (GGA-PBE) of a relaxed AuS8 crystal.

Computed properties:
As for the uncorrected formation energy: 0.51 eV/atom. The density of states at the Fermi level comes out at 15.5 states/eV per cell.

```
data_AuS8
_cell_length_a 5.1309
_cell_length_b 7.9711
_cell_length_c 10.7476
_cell_angle_alpha 90.00
_cell_angle_beta 90.00
_cell_angle_gamma 90.00
_symmetry_space_group_name_H-M 'I m m m'
_symmetry_Int_Tables_number 71
_symmetry_space_group_name_Hall '-I 2 2'
loop_
_atom_site_label
_atom_site_type_symbol
_atom_site_fract_x
_atom_site_fract_y
_atom_site_fract_z
_atom_site_occupancy
Au1 Au 0.0000 0.0000 0.0000 1
S1 S 0.0000 0.0000 0.3391 1
S2 S 0.0000 0.2272 0.2447 1
S3 S 0.0000 0.2802 0.0000 1
```


[6]
The following is a DFT calculation (GGA-PBE) of a relaxed NdScInSn crystal.

Computed properties:
The density of states at the Fermi level comes out at 15.6 states/eV per cell. The calculated formation energy is -453 meV per atom.

```
data_NdScInSn
_cell_length_a 7.4791
_cell_length_b 7.4791
_cell_length_c 7.4791
_cell_angle_alpha 90.00
_cell_angle_beta 90.00
_cell_angle_gamma 90.00
_symmetry_space_group_name_H-M 'F -4 3 m'
_symmetry_Int_Tables_number 216
_symmetry_space_group_name_Hall 'F -4 2 3'
loop_
_atom_site_label
_atom_site_type_symbol
_atom_site_fract_x
_atom_site_fract_y
_atom_site_fract_z
_atom_site_occupancy
Nd1 Nd 0.0000 0.0000 0.0000 1
Sc1 Sc 0.0000 0.0000 0.5000 1
In1 In 0.2500 0.2500 0.2500 1
Sn1 Sn 0.2500 0.2500 0.7500 1
```


[7]
The following is a DFT calculation (GGA-PBE) of a relaxed BeFeP crystal.

Computed properties:
The density of states at the Fermi level comes out at 3.6 states/eV per cell. The calculated formation energy is -368 meV per atom. The calculation puts the excess energy over the best structure of this formula in the dataset at 34 meV per atom.

```
data_BeFeP
_cell_length_a 4.1144
_cell_length_b 6.8530
_cell_length_c 4.0962
_cell_angle_alpha 90.00
_cell_angle_beta 95.76
_cell_angle_gamma 90.00
_symmetry_space_group_name_H-M 'C 1 2 1'
_symmetry_Int_Tables_number 5
_symmetry_space_group_name_Hall 'C 2y'
loop_
_atom_site_label
_atom_site_type_symbol
_atom_site_fract_x
_atom_site_fract_y
_atom_site_fract_z
_atom_site_occupancy
Be1 Be 0.2299 0.0000 0.2353 1
Fe1 Fe 0.2248 0.6674 0.2682 1
P1 P 0.2355 0.3277 0.2464 1
```


[8]
The following is a DFT calculation (GGA-PBE) of a relaxed PrEr5In6 crystal.

Computed properties:
The density of states at the Fermi level comes out at 6.0 states/eV per cell. The calculated formation energy is -448 meV per atom.

```
data_PrEr5In6
_cell_length_a 5.3187
_cell_length_b 7.5149
_cell_length_c 8.4074
_cell_angle_alpha 90.00
_cell_angle_beta 108.26
_cell_angle_gamma 90.00
_symmetry_space_group_name_H-M 'P 1 2/m 1'
_symmetry_Int_Tables_number 10
_symmetry_space_group_name_Hall '-P 2y'
loop_
_atom_site_label
_atom_site_type_symbol
_atom_site_fract_x
_atom_site_fract_y
_atom_site_fract_z
_atom_site_occupancy
Pr1 Pr 0.0000 0.0000 0.0000 1
Er1 Er 0.0000 0.5000 0.0000 1
Er2 Er 0.3324 0.0000 0.6647 1
Er3 Er 0.3370 0.5000 0.6739 1
In1 In 0.1703 0.2564 0.3408 1
In2 In 0.5000 0.2553 0.0000 1
```


[9]
The following is a DFT calculation (GGA-PBE) of a relaxed LiNbCd crystal.

Computed properties:
The density of states at the Fermi level comes out at 3.5 states/eV per cell. The calculated formation energy is 146 meV per atom. The calculation puts the excess energy over the best structure of this formula in the dataset at 112 meV per atom.

```
data_LiNbCd
_cell_length_a 2.7505
_cell_length_b 4.9458
_cell_length_c 8.2154
_cell_angle_alpha 90.00
_cell_angle_beta 93.52
_cell_angle_gamma 90.00
_symmetry_space_group_name_H-M 'P 1 m 1'
_symmetry_Int_Tables_number 6
_symmetry_space_group_name_Hall 'P -2y'
loop_
_atom_site_label
_atom_site_type_symbol
_atom_site_fract_x
_atom_site_fract_y
_atom_site_fract_z
_atom_site_occupancy
Li1 Li 0.0000 0.0000 0.0000 1
Li2 Li 0.0089 0.5000 0.5001 1
Nb1 Nb 0.3073 0.0000 0.3537 1
Nb2 Nb 0.7040 0.0000 0.6462 1
Cd1 Cd 0.2903 0.5000 0.8203 1
Cd2 Cd 0.7200 0.5000 0.1802 1
```


[10]
The following is a DFT calculation (GGA-PBE) of a relaxed RbMnI2N crystal.

Computed properties:
As for the uncorrected formation energy: 1.11 eV/atom. The density of states at the Fermi level comes out at 2.7 states/eV per cell. The calculation puts the excess energy over the best structure of this formula in the dataset at 1396 meV per atom.

```
data_RbMnI2N
_cell_length_a 6.8078
_cell_length_b 6.8078
_cell_length_c 5.4250
_cell_angle_alpha 90.00
_cell_angle_beta 90.00
_cell_angle_gamma 90.00
_symmetry_space_group_name_H-M 'P 4/m m m'
_symmetry_Int_Tables_number 123
_symmetry_space_group_name_Hall '-P 4 2'
loop_
_atom_site_label
_atom_site_type_symbol
_atom_site_fract_x
_atom_site_fract_y
_atom_site_fract_z
_atom_site_occupancy
Rb1 Rb 0.0000 0.0000 0.0000 1
Mn1 Mn 0.5000 0.5000 0.5000 1
I1 I 0.0000 0.5000 0.0000 1
N1 N 0.0000 0.0000 0.5000 1
```


[11]
The following is a DFT calculation (GGA-PBE) of a relaxed HfThGa crystal.

Computed properties:
The density of states at the Fermi level comes out at 8.0 states/eV per cell. The calculated formation energy is -159 meV per atom. The calculation puts the excess energy over the best structure of this formula in the dataset at 170 meV per atom.

```
data_HfThGa
_cell_length_a 3.4339
_cell_length_b 3.4339
_cell_length_c 12.2043
_cell_angle_alpha 90.00
_cell_angle_beta 90.00
_cell_angle_gamma 90.00
_symmetry_space_group_name_H-M 'I 4 m m'
_symmetry_Int_Tables_number 107
_symmetry_space_group_name_Hall 'I 4 -2'
loop_
_atom_site_label
_atom_site_type_symbol
_atom_site_fract_x
_atom_site_fract_y
_atom_site_fract_z
_atom_site_occupancy
Hf1 Hf 0.0000 0.0000 0.0000 1
Th1 Th 0.0000 0.0000 0.6934 1
Ga1 Ga 0.0000 0.0000 0.3715 1
```


[12]
The following is a DFT calculation (GGA-PBE) of a relaxed CrIn2Au8 crystal.

Computed properties:
The density of states at the Fermi level comes out at 7.3 states/eV per cell. The calculated formation energy is -36 meV per atom.

```
data_CrIn2Au8
_cell_length_a 15.5375
_cell_length_b 4.3600
_cell_length_c 6.9609
_cell_angle_alpha 90.00
_cell_angle_beta 116.56
_cell_angle_gamma 90.00
_symmetry_space_group_name_H-M 'C 1 2/m 1'
_symmetry_Int_Tables_number 12
_symmetry_space_group_name_Hall '-C 2y'
loop_
_atom_site_label
_atom_site_type_symbol
_atom_site_fract_x
_atom_site_fract_y
_atom_site_fract_z
_atom_site_occupancy
Cr1 Cr 0.0000 0.0000 0.0000 1
In1 In 0.2072 0.5000 0.7069 1
Au1 Au 0.9999 0.5000 0.2857 1
Au2 Au 0.1336 0.0000 0.4235 1
Au3 Au 0.1339 0.0000 0.8442 1
Au4 Au 0.1539 0.5000 0.1539 1
```